(1)
Density functional theory data (PBE-GGA) for crystalline K2NdPuS4 at its relaxed geometry.

a b c (Å): 7.2163 4.1632 7.7446
angles (deg): 90.00 108.15 90.00
With the nearest neighbours (Å) after each atom.
Space group P2/m (No. 10)
Unique sites:
K 0.0000 0.0000 0.0000 x1  6 S 3.25-3.27
K 0.5000 0.5000 0.0000 x1  6 S 3.22-3.23
Nd 0.0000 0.5000 0.5000 x1  6 S 2.86
Pu 0.5000 0.0000 0.5000 x1  6 S 2.80-2.82
S 0.2396 0.0000 0.7071 x2  1 Pu 2.82, 2 Nd 2.86
S 0.2722 0.5000 0.2987 x2  2 Pu 2.80, 1 Nd 2.86

## Properties
* D(E_F): 10.8 states/eV/f.u.
* volume: 221 Å³/f.u.
* raw formation energy: -13.65 eV per formula unit
* electronic total energy: -51.46 eV for the cell shown


(2)
Density functional theory data (PBE-GGA) for crystalline K3Nd3PuSe8 at its relaxed geometry.

a b c (Å): 8.6071 8.6071 23.4078
angles (deg): 90.00 90.00 120.00
With the nearest neighbours (Å) after each atom.
Space group R-3m (No. 166, hexagonal axes)
Unique sites:
K 0.0000 0.5000 0.0000 x9  6 Se 3.36-3.37
Nd 0.0000 0.5000 0.5000 x9  6 Se 2.98
Pu 0.0000 0.0000 0.5000 x3  6 Se 2.86
Se 0.0000 0.0000 0.2370 x6  3 Nd 2.98
Se 0.0128 0.5064 0.2338 x18  1 Pu 2.86, 2 Nd 2.98

## Properties
* D(E_F): 12.5 states/eV/f.u.
* volume: 501 Å³/f.u.
* raw formation energy: -24.56 eV per formula unit
* electronic total energy: -253.08 eV for the cell shown


(3)
Density functional theory data (PBE-GGA) for crystalline K3Nd2PuSe6 at its relaxed geometry.

a b c (Å): 7.5186 13.0196 8.0720
angles (deg): 90.00 108.10 90.00
With the nearest neighbours (Å) after each atom.
Space group C2/m (No. 12)
Unique sites:
K 0.0000 0.0000 0.0000 x2  6 Se 3.34-3.38
K 0.0000 0.3324 0.0000 x4  6 Se 3.35-3.37
Nd 0.0000 0.1665 0.5000 x4  6 Se 2.99
Pu 0.0000 0.5000 0.5000 x2  6 Se 2.95
Se 0.2343 0.3353 0.7091 x8  1 Pu 2.95, 2 Nd 2.99
Se 0.2405 0.0000 0.7092 x4  1 Pu 2.95, 2 Nd 2.99

## Properties
* D(E_F): 13.1 states/eV/f.u.
* volume: 376 Å³/f.u.
* raw formation energy: -19.72 eV per formula unit
* electronic total energy: -135.58 eV for the cell shown


(4)
Density functional theory data (PBE-GGA) for crystalline K2NdPuSe4 at its relaxed geometry.

a b c (Å): 7.4969 4.3241 8.0645
angles (deg): 90.00 108.10 90.00
With the nearest neighbours (Å) after each atom.
Space group P2/m (No. 10)
Unique sites:
K 0.0000 0.0000 0.0000 x1  6 Se 3.36-3.38
K 0.5000 0.5000 0.0000 x1  6 Se 3.33-3.34
Nd 0.0000 0.5000 0.5000 x1  6 Se 2.98-2.99
Pu 0.5000 0.0000 0.5000 x1  6 Se 2.94-2.96
Se 0.2399 0.0000 0.7105 x2  1 Pu 2.96, 2 Nd 2.98
Se 0.2695 0.5000 0.2944 x2  2 Pu 2.94, 1 Nd 2.99

## Properties
* D(E_F): 12.3 states/eV/f.u.
* volume: 248 Å³/f.u.
* raw formation energy: -12.79 eV per formula unit
* electronic total energy: -48.02 eV for the cell shown


(5)
Density functional theory data (PBE-GGA) for crystalline KNd2Pu3Se6 at its relaxed geometry.

a b c (Å): 18.5010 4.2050 8.5576
angles (deg): 90.00 103.04 90.00
With the nearest neighbours (Å) after each atom.
Space group C2/m (No. 12)
Unique sites:
K 0.0000 0.0000 0.0000 x2  6 Se 3.11
Nd 0.1681 0.5000 0.3382 x4  6 Se 3.01-3.04
Pu 0.0000 0.0000 0.5000 x2  6 Se 2.89-2.97
Pu 0.1654 0.5000 0.8334 x4  6 Se 2.92-3.00
Se 0.0009 0.5000 0.2681 x4  3 Pu 2.89-3.00, 1 Nd 3.02, 2 K 3.11
Se 0.1649 0.0000 0.5889 x4  3 Pu 2.96-2.97, 3 Nd 3.01
Se 0.1726 0.0000 0.0836 x4  3 Pu 2.92-2.98, 2 Nd 3.04, 1 K 3.11

## Properties
* D(E_F): 37.0 states/eV/f.u.
* volume: 324 Å³/f.u.
* raw formation energy: -19.13 eV per formula unit
* electronic total energy: -187.32 eV for the cell shown


(6)
Density functional theory data (PBE-GGA) for crystalline KNd3Pu2Te6 at its relaxed geometry.

a b c (Å): 19.8132 4.4933 9.1599
angles (deg): 90.00 103.61 90.00
With the nearest neighbours (Å) after each atom.
Space group C2/m (No. 12)
Unique sites:
K 0.0000 0.0000 0.0000 x2  6 Te 3.28-3.30
Nd 0.0000 0.0000 0.5000 x2  6 Te 3.14-3.22
Nd 0.1640 0.5000 0.8295 x4  6 Te 3.17-3.24
Pu 0.1681 0.5000 0.3351 x4  6 Te 3.17-3.20
Te 0.0025 0.5000 0.2618 x4  3 Nd 3.14-3.21, 1 Pu 3.19, 2 K 3.28
Te 0.1673 0.0000 0.5795 x4  3 Pu 3.17, 3 Nd 3.22
Te 0.1713 0.0000 0.0878 x4  3 Nd 3.17-3.24, 2 Pu 3.20, 1 K 3.30

## Properties
* D(E_F): 28.1 states/eV/f.u.
* volume: 396 Å³/f.u.
* raw formation energy: -15.41 eV per formula unit
* electronic total energy: -156.66 eV for the cell shown


(7)
Density functional theory data (PBE-GGA) for crystalline KNd2Pu3Te6 at its relaxed geometry.

a b c (Å): 19.7123 4.4850 9.1472
angles (deg): 90.00 103.18 90.00
With the nearest neighbours (Å) after each atom.
Space group C2/m (No. 12)
Unique sites:
K 0.0000 0.0000 0.0000 x2  6 Te 3.31
Nd 0.1679 0.5000 0.3375 x4  6 Te 3.20-3.23
Pu 0.0000 0.0000 0.5000 x2  6 Te 3.10-3.17
Pu 0.1640 0.5000 0.8340 x4  6 Te 3.14-3.20
Te 0.0012 0.5000 0.2661 x4  3 Pu 3.10-3.18, 1 Nd 3.20, 2 K 3.31
Te 0.1651 0.0000 0.5886 x4  3 Pu 3.17-3.18, 3 Nd 3.21-3.22
Te 0.1726 0.0000 0.0865 x4  3 Pu 3.14-3.20, 2 Nd 3.23, 1 K 3.31

## Properties
* D(E_F): 36.2 states/eV/f.u.
* volume: 394 Å³/f.u.
* raw formation energy: -14.57 eV per formula unit
* electronic total energy: -174.11 eV for the cell shown


(8)
Density functional theory data (PBE-GGA) for crystalline KNd2Rh at its relaxed geometry.

a b c (Å): 4.1668 4.1668 33.8671
angles (deg): 90.00 90.00 120.00
With the nearest neighbours (Å) after each atom.
Space group R-3m (No. 166, hexagonal axes)
Unique sites:
K 0.0000 0.0000 0.0000 x3  2 Nd 4.16, 6 K 4.17
Nd 0.0000 0.0000 0.1227 x6  3 Rh 2.83
Rh 0.0000 0.0000 0.5000 x3  6 Nd 2.83

## Properties
* calculated formation energy: -0.25 eV per atom
* D(E_F): 4.0 states/eV/f.u.
* volume: 170 Å³/f.u.
* electronic total energy: -57.00 eV for the cell shown


(9)
Density functional theory data (PBE-GGA) for crystalline KNd5S6 at its relaxed geometry.

a b c (Å): 7.1210 12.3125 7.1398
angles (deg): 90.00 109.44 90.00
With the nearest neighbours (Å) after each atom.
Space group C2/m (No. 12)
Unique sites:
K 0.0000 0.0000 0.0000 x2  6 S 2.96-2.99
Nd 0.0000 0.1612 0.5000 x4  6 S 2.87-2.91
Nd 0.0000 0.3342 0.0000 x4  6 S 2.88-2.92
Nd 0.0000 0.5000 0.5000 x2  6 S 2.86-2.91
S 0.2421 0.5000 0.2503 x4  5 Nd 2.86-2.88, 1 K 2.96
S 0.2428 0.3284 0.7419 x8  5 Nd 2.87-2.92, 1 K 2.99

## Properties
* D(E_F): 4.9 states/eV/f.u.
* volume: 295 Å³/f.u.
* raw formation energy: -23.23 eV per formula unit
* electronic total energy: -145.86 eV for the cell shown


(10)
Density functional theory data (PBE-GGA) for crystalline KNdS14 at its relaxed geometry.

a b c (Å): 9.7629 14.7262 13.4729
angles (deg): 90.00 90.00 90.00
With the nearest neighbours (Å) after each atom.
Space group Imma (No. 74)
Unique sites:
K 0.0000 0.2500 0.0477 x4  8 S 3.25-3.58
Nd 0.2500 0.2500 0.7500 x4  8 S 2.95-3.03
S 0.0000 0.0722 0.8332 x8  3 S 2.05-2.08
S 0.0000 0.1380 0.6967 x8  1 S 2.08
S 0.0000 0.1823 0.3953 x8  1 S 1.99
S 0.1741 0.1165 0.9032 x16  1 S 2.05
S 0.2314 0.1368 0.3202 x16  1 S 1.93

## Properties
* D(E_F): 7.4 states/eV/f.u.
* volume: 484 Å³/f.u.
* raw formation energy: -3.22 eV per formula unit
* electronic total energy: -267.47 eV for the cell shown


(11)
Density functional theory data (PBE-GGA) for crystalline KNdS2 at its relaxed geometry.

a b c (Å): 4.1974 4.1974 22.2045
angles (deg): 90.00 90.00 120.00
With the nearest neighbours (Å) after each atom.
Space group R-3m (No. 166, hexagonal axes)
Unique sites:
K 0.0000 0.0000 0.0000 x3  6 S 3.25
Nd 0.0000 0.0000 0.5000 x3  6 S 2.87
S 0.0000 0.0000 0.2358 x6  3 Nd 2.87

## Properties
* D(E_F): 0.0 states/eV/f.u.
* volume: 113 Å³/f.u.
* raw formation energy: -7.40 eV per formula unit
* electronic total energy: -64.57 eV for the cell shown


(12)
Density functional theory data (PBE-GGA) for crystalline K2NdS10 at its relaxed geometry.

a b c (Å): 5.5938 25.7140 5.5144
angles (deg): 90.00 90.00 90.00
With the nearest neighbours (Å) after each atom.
Space group Pbam (No. 55)
Unique sites:
K 0.0034 0.1471 0.0000 x4  8 S 3.32-3.54
Nd 0.0000 0.5000 0.5000 x2  8 S 2.88-2.98
S 0.0005 0.0397 0.5000 x4  1 S 2.04
S 0.0027 0.4108 0.1845 x8  1 S 2.04
S 0.2342 0.7119 0.5000 x4  1 S 1.96
S 0.2482 0.7881 0.5000 x4  1 S 1.96

## Properties
* D(E_F): 8.1 states/eV/f.u.
* volume: 397 Å³/f.u.
* raw formation energy: -6.19 eV per formula unit
* electronic total energy: -108.85 eV for the cell shown